# 1
{
  "formula": "CdAsIr3",
  "functional": "GGA-PBE",
  "state": "relaxed",
  "lattice": [[-3.526, 2.339, -2.377], [-1.265, -4.139, -2.196], [-3.086, -0.976, 3.616]],
  "species": ["Ir", "Ir", "Ir", "As", "Cd"],
  "fractional_positions": [[0.000, 0.500, 0.000], [0.500, 0.000, 0.000], [0.000, 0.000, 0.500], [0.500, 0.500, 0.500], [0.000, 0.000, 0.000]],
  "magnetic_moment_mub_per_fu": 2.2,
  "dos_ef_per_ev_cell": 7.4,
  "vol_a3_per_atom": 22.857,
  "delta_e_f_mev_per_atom": 2359,
  "e_tot_ev_per_atom": -4.071
}

=====

# 2
{
  "formula": "CdAsIr4",
  "functional": "GGA-PBE",
  "state": "relaxed",
  "lattice": [[-3.017, -2.719, 3.344], [-4.769, -1.642, -1.499], [-0.881, -5.122, -0.821]],
  "species": ["Ir", "Ir", "Ir", "Ir", "As", "Cd"],
  "fractional_positions": [[0.375, 0.375, 0.375], [0.375, 0.375, 0.875], [0.375, 0.875, 0.375], [0.875, 0.375, 0.375], [0.750, 0.750, 0.750], [0.000, 0.000, 0.000]],
  "magnetic_moment_mub_per_fu": 0.0,
  "dos_ef_per_ev_cell": 5.5,
  "vol_a3_per_atom": 17.165,
  "delta_e_f_mev_per_atom": 439,
  "e_tot_ev_per_atom": -6.396
}

=====

# 3
{
  "formula": "CdAs2Ir",
  "functional": "GGA-PBE",
  "state": "relaxed",
  "lattice": [[6.223, -0.001, 0.001], [3.655, 5.037, -0.001], [-4.362, -3.649, 2.526]],
  "species": ["Ir", "Cd", "As", "As"],
  "fractional_positions": [[0.250, 0.750, 0.500], [0.750, 0.250, 0.500], [0.438, 0.438, 0.000], [0.062, 0.062, 0.000]],
  "magnetic_moment_mub_per_fu": 0.0,
  "dos_ef_per_ev_cell": 2.3,
  "vol_a3_per_atom": 19.791,
  "delta_e_f_mev_per_atom": 23,
  "e_tot_ev_per_atom": -4.745
}